(1)
# NaSeBr4 (PBE, optimized geometry)
data_NaSeBr4
_symmetry_space_group_name_H-M 'C 1 2/c 1'
_symmetry_Int_Tables_number 15
_cell_length_a 8.229
_cell_length_b 15.842
_cell_length_c 7.411
_cell_angle_alpha 90.00
_cell_angle_beta 119.79
_cell_angle_gamma 90.00
loop_
_symmetry_equiv_pos_as_xyz
'x,y,z'
'-x,-y,-z'
'-x,y,-z+1/2'
'x,-y,z+1/2'
'x+1/2,y+1/2,z'
'-x+1/2,-y+1/2,-z'
'-x+1/2,y+1/2,-z+1/2'
'x+1/2,-y+1/2,z+1/2'
loop_
_atom_site_label
_atom_site_type_symbol
_atom_site_fract_x
_atom_site_fract_y
_atom_site_fract_z
Na1 Na 0.000 0.178 0.250
Se1 Se 0.000 0.323 0.750
Br1 Br 0.213 0.435 0.746
Br2 Br 0.216 0.202 0.737
# - formation energy without anion corrections (eV per atom) = -0.55
# - calculated total energy (eV/f.u.) = -14.778
# - magnetic moment (μB/atom) = 0.000
# - Fermi-level density of states (states/eV/cell) = 6.314
# - mass density (g cm⁻³) = 3.34

(2)
# NiPW2 (PBE, optimized geometry)
data_NiPW2
_symmetry_space_group_name_H-M 'P 4/m m m'
_symmetry_Int_Tables_number 123
_symmetry_space_group_name_Hall '-P 4 2'
_cell_length_a 4.360
_cell_length_b 4.360
_cell_length_c 2.836
_cell_angle_alpha 90.00
_cell_angle_beta 90.00
_cell_angle_gamma 90.00
loop_
_atom_site_label
_atom_site_type_symbol
_atom_site_fract_x
_atom_site_fract_y
_atom_site_fract_z
Ni1 Ni 0.000 0.000 0.000
P1 P 0.500 0.500 0.000
W1 W 0.000 0.500 0.500
# - calculated total energy (eV/f.u.) = -36.993
# - magnetic moment (μB/atom) = 0.000
# - Fermi-level density of states (states/eV/cell) = 2.818
# - mass density (g cm⁻³) = 14.08
# - E_form (meV/atom) = 26

(3)
# Ta2AgP (PBE, optimized geometry)
data_Ta2AgP
_symmetry_space_group_name_H-M 'P 1 2/m 1'
_symmetry_Int_Tables_number 10
_cell_length_a 2.959
_cell_length_b 3.565
_cell_length_c 6.423
_cell_angle_alpha 90.00
_cell_angle_beta 99.67
_cell_angle_gamma 90.00
loop_
_symmetry_equiv_pos_as_xyz
'x,y,z'
'-x,-y,-z'
'-x,y,-z'
'x,-y,z'
loop_
_atom_site_label
_atom_site_type_symbol
_atom_site_fract_x
_atom_site_fract_y
_atom_site_fract_z
Ta1 Ta 0.092 0.000 0.279
Ag1 Ag 0.500 0.500 0.000
P1 P 0.500 0.500 0.500
# - calculated total energy (eV/f.u.) = -32.050
# - magnetic moment (μB/atom) = 0.000
# - Fermi-level density of states (states/eV/cell) = 1.723
# - mass density (g cm⁻³) = 12.45
# - E_form (meV/atom) = -21

(4)
# CaPaTl2 (PBE, optimized geometry)
data_CaPaTl2
_symmetry_space_group_name_H-M 'R -3 m'
_symmetry_Int_Tables_number 166
_symmetry_space_group_name_Hall '-R 3 2"'
_cell_length_a 3.4247
_cell_length_b 3.4247
_cell_length_c 35.4370
_cell_angle_alpha 90.00
_cell_angle_beta 90.00
_cell_angle_gamma 120.00
loop_
_atom_site_label
_atom_site_type_symbol
_atom_site_fract_x
_atom_site_fract_y
_atom_site_fract_z
Ca1 Ca 0.0000 0.0000 0.0000
Pa1 Pa 0.0000 0.0000 0.5000
Tl1 Tl 0.0000 0.0000 0.4103
# - calculated total energy (eV/f.u.) = -15.081
# - magnetic moment (μB/atom) = 0.204
# - Fermi-level density of states (states/eV/cell) = 19.103
# - mass density (g cm⁻³) = 9.41
# - E_form (meV/atom) = 287

(5)
# LiCO (PBE, optimized geometry)
data_LiCO
_symmetry_space_group_name_H-M 'R 3 m'
_symmetry_Int_Tables_number 160
_symmetry_space_group_name_Hall 'R 3 -2"'
_cell_length_a 2.8501
_cell_length_b 2.8501
_cell_length_c 12.2027
_cell_angle_alpha 90.00
_cell_angle_beta 90.00
_cell_angle_gamma 120.00
loop_
_atom_site_label
_atom_site_type_symbol
_atom_site_fract_x
_atom_site_fract_y
_atom_site_fract_z
Li1 Li 0.0000 0.0000 0.0000
C1 C 0.0000 0.0000 0.4625
O1 O 0.0000 0.0000 0.5627
# - formation energy without anion corrections (eV per atom) = -0.56
# - calculated total energy (eV/f.u.) = -17.766
# - magnetic moment (μB/atom) = 0.000
# - Fermi-level density of states (states/eV/cell) = 1.504
# - mass density (g cm⁻³) = 2.03

(6)
# CrTc7 (PBE, optimized geometry)
data_CrTc7
_symmetry_space_group_name_H-M 'F m -3 m'
_symmetry_Int_Tables_number 225
_symmetry_space_group_name_Hall '-F 4 2 3'
_cell_length_a 7.716
_cell_length_b 7.716
_cell_length_c 7.716
_cell_angle_alpha 90.00
_cell_angle_beta 90.00
_cell_angle_gamma 90.00
loop_
_atom_site_label
_atom_site_type_symbol
_atom_site_fract_x
_atom_site_fract_y
_atom_site_fract_z
Cr1 Cr 0.000 0.000 0.000
Tc1 Tc 0.000 0.000 0.500
Tc2 Tc 0.000 0.250 0.250
# - calculated total energy (eV/f.u.) = -81.181
# - magnetic moment (μB/atom) = 0.036
# - Fermi-level density of states (states/eV/cell) = 46.372
# - mass density (g cm⁻³) = 10.67
# - E_form (meV/atom) = 126